1.
Be5Tl4 | PBE-GGA | optimized geometry

Geometry as POSCAR:
```
Be5Tl4
1.0
-5.0496 5.0496 1.8005
5.0496 -5.0496 1.8005
5.0496 5.0496 -1.8005
Be Tl
5 4
direct
0.0000 0.0000 0.0000 Be
0.6008 0.3992 0.0000 Be
0.3992 0.6008 0.0000 Be
0.3992 0.3992 0.7983 Be
0.6008 0.6008 0.2017 Be
0.7067 0.0000 0.7067 Tl
0.2933 0.0000 0.2933 Tl
0.0000 0.2933 0.2933 Tl
0.0000 0.7067 0.7067 Tl
```

Properties
The calculation puts the calculated total energy at -2.540 eV per atom. Its formation energy is 582 meV/atom. The energy above the most stable polymorph in this dataset is 0.00 eV per formula unit.


2.
Ba2O | PBE-GGA | optimized geometry

Geometry as POSCAR:
```
Ba2O
1.0
-2.7375 0.5445 2.9170
0.1467 -3.5027 -2.0023
4.6976 -2.6009 4.8941
Ba O
2 1
direct
0.6667 0.3333 0.7889 Ba
0.3333 0.6667 0.2111 Ba
0.0000 0.0000 0.0000 O
```

Properties
The calculation puts the calculated total energy at -4.433 eV per atom. The calculation puts the formation energy (no corrections) at -1498 meV per atom.